(1)
# Sc6PbSe3S2

A relaxed Sc6PbSe3S2 crystal (GGA-PBE, Alexandria via LeMat-Bulk).

Cell: 3.8219 7.8623 8.6881 Å, 102.99 102.71 90.00°
Closest atoms and distances in Å follow each position.
Fractional coordinates of all 12 atoms:
Sc  0.6752  0.1159  0.3504  2 S 2.62, 3 Se 2.69-2.90, 1 Pb 2.90
Sc  0.6749  0.5728  0.3498  3 S 2.58-2.63, 2 Se 2.85
Sc  0.3248  0.8841  0.6496  2 S 2.62, 3 Se 2.69-2.90, 1 Pb 2.90
Sc  0.9890  0.7283  0.9780  1 S 2.61, 3 Se 2.66-2.86, 2 Pb 2.84
Sc  0.3251  0.4272  0.6502  3 S 2.58-2.63, 2 Se 2.85
Sc  0.0110  0.2717  0.0220  1 S 2.61, 3 Se 2.66-2.86, 2 Pb 2.84
Se  0.8377  0.1664  0.6753  6 Sc 2.69-2.90
Se  0.1623  0.8336  0.3247  6 Sc 2.69-2.90
Se  0.5000  0.5000  0.0000  6 Sc 2.66-2.89
S  0.1690  0.3408  0.3380  6 Sc 2.58-2.63
S  0.8310  0.6592  0.6620  6 Sc 2.58-2.63
Pb  0.5000  0.0000  0.0000  6 Sc 2.84-2.90

Computed properties:
For the density of states at the Fermi level, the calculation gives 4.98 states/eV per cell. The energy relative to the elements, uncorrected is -1454 meV/atom. The value obtained for the electronic total energy is -6.49 eV per atom. Its calculated density is 5.21 g/cm3. As for the volume: 248 Å³ per cell.

=====

(2)
# SmSc4PbS8

A relaxed SmSc4PbS8 crystal (GGA-PBE, Alexandria via LeMat-Bulk).

Cell: 7.7309 7.7309 7.9995 Å, 61.10 61.10 60.00°
Closest atoms and distances in Å follow each position.
Fractional coordinates of all 14 atoms:
S  0.2290  0.2290  0.3130  3 Sc 2.55, 1 Pb 2.78
S  0.2351  0.7483  0.2684  3 Sc 2.50-2.70
S  0.2476  0.2476  0.7136  2 Sc 2.56, 1 Pb 2.70, 1 Sm 2.77
S  0.7483  0.2351  0.2684  3 Sc 2.50-2.70
S  0.7575  0.7575  0.7275  4 Sc 2.59-2.69
S  0.7483  0.7483  0.2684  3 Sc 2.50-2.70
S  0.7911  0.2476  0.7136  2 Sc 2.56, 1 Pb 2.70, 1 Sm 2.77
S  0.2476  0.7911  0.7136  2 Sc 2.56, 1 Pb 2.70, 1 Sm 2.77
Pb  0.3688  0.3688  0.8936  4 S 2.70-2.78
Sc  0.6272  0.6272  0.1184  4 S 2.50-2.59
Sc  0.0000  0.0000  0.5019  6 S 2.55-2.70
Sc  0.0000  0.4981  0.5019  6 S 2.55-2.70
Sc  0.4981  0.0000  0.5019  6 S 2.55-2.70
Sm  0.0014  0.0014  0.9959  6 S 2.77-2.83

Computed properties:
For the density of states at the Fermi level, the calculation gives 6.09 states/eV per cell. The energy relative to the elements, uncorrected is -1639 meV/atom. The value obtained for the electronic total energy is -6.41 eV per atom. Its calculated density is 3.84 g/cm3. As for the volume: 344 Å³ per cell.